(1)
Density functional theory data (PBE) for crystalline Dy6RhPb2 at its relaxed geometry.

a b c (Å): 5.2377 7.1370 14.9215
angles (deg): 90.00 90.00 90.00
Closest atoms and distances in Å follow each position.
Space group Immm (No. 71)
Inequivalent atoms, fractional coordinates:
Dy: 0.0000 0.2270 0.0000 [4 per cell]  2 Rh 3.08, 5 Dy 3.24-3.42, 2 Pb 3.26
Dy: 0.0000 0.2576 0.3524 [8 per cell]  1 Rh 2.80
Rh: 0.0000 0.5000 0.5000 [2 per cell]  8 Dy 2.80-3.08
Pb: 0.0000 0.5000 0.1749 [4 per cell]  8 Dy 3.16-3.26

Computed properties:
E_tot (eV per atom): -5.040
D(E_F) (states/eV/cell): 12.95
Calculated formation energy (eV/atom): -0.331
V (Å³ per atom): 30.99

(2)
Density functional theory data (PBE) for crystalline Dy4Rh2Pb at its relaxed geometry.

a b c (Å): 8.6159 14.8717 6.9281
angles (deg): 90.00 127.46 90.00
Closest atoms and distances in Å follow each position.
Space group Cc (No. 9)
Inequivalent atoms, fractional coordinates:
Dy: 0.0000 0.0085 0.0000 [4 per cell]  1 Rh 2.72
Dy: 0.0285 0.4200 0.3671 [4 per cell]  3 Rh 2.71-3.03
Dy: 0.1013 0.2133 0.6875 [4 per cell]  3 Rh 2.75-2.97
Dy: 0.2496 0.2070 0.3063 [4 per cell]  3 Rh 2.80-3.03
Rh: 0.3030 0.0746 0.0182 [4 per cell]  5 Dy 2.71-3.03, 1 Pb 2.95
Rh: 0.3870 0.3304 0.7024 [4 per cell]  5 Dy 2.75-2.97
Pb: 0.1739 0.3827 0.9967 [4 per cell]  1 Rh 2.95, 4 Dy 3.10-3.28

Computed properties:
E_tot (eV per atom): -5.895
D(E_F) (states/eV/cell): 15.03
Calculated formation energy (eV/atom): -0.635
V (Å³ per atom): 25.17

(3)
Density functional theory data (PBE) for crystalline DyRuRhPb at its relaxed geometry.

a b c (Å): 6.7010 6.7010 6.7010
angles (deg): 90.00 90.00 90.00
Closest atoms and distances in Å follow each position.
Space group F-43m (No. 216)
Inequivalent atoms, fractional coordinates:
Dy: 0.0000 0.0000 0.0000 [4 per cell]  4 Ru 2.90, 4 Rh 2.90
Ru: 0.2500 0.2500 0.2500 [4 per cell]  4 Pb 2.90, 4 Dy 2.90
Rh: 0.2500 0.2500 0.7500 [4 per cell]  4 Pb 2.90, 4 Dy 2.90
Pb: 0.0000 0.0000 0.5000 [4 per cell]  4 Ru 2.90, 4 Rh 2.90

Computed properties:
E_tot (eV per atom): -6.601
D(E_F) (states/eV/cell): 2.79
Calculated formation energy (eV/atom): -0.366
V (Å³ per atom): 18.81

(4)
Density functional theory data (PBE) for crystalline DyScRhPb at its relaxed geometry.

a b c (Å): 7.0882 7.0882 7.0882
angles (deg): 90.00 90.00 90.00
Closest atoms and distances in Å follow each position.
Space group F-43m (No. 216)
Inequivalent atoms, fractional coordinates:
Dy: 0.0000 0.0000 0.0000 [4 per cell]  4 Pb 3.07, 4 Rh 3.07
Sc: 0.0000 0.0000 0.5000 [4 per cell]  4 Pb 3.07, 4 Rh 3.07
Rh: 0.2500 0.2500 0.2500 [4 per cell]  4 Dy 3.07, 4 Sc 3.07
Pb: 0.2500 0.2500 0.7500 [4 per cell]  4 Dy 3.07, 4 Sc 3.07

Computed properties:
E_tot (eV per atom): -6.006
D(E_F) (states/eV/cell): 11.17
Calculated formation energy (eV/atom): -0.507
V (Å³ per atom): 22.26

(5)
Density functional theory data (PBE) for crystalline Dy6Rh2PbSe3 at its relaxed geometry.

a b c (Å): 18.8768 4.0124 8.5998
angles (deg): 90.00 111.43 90.00
Closest atoms and distances in Å follow each position.
Space group C2/m (No. 12)
Inequivalent atoms, fractional coordinates:
Dy: 0.0024 0.0000 0.2309 [4 per cell]  3 Se 2.81-2.87, 1 Rh 2.89, 2 Pb 3.08
Dy: 0.1760 0.5000 0.5934 [4 per cell]  2 Rh 2.80, 3 Se 2.82-3.03, 1 Pb 3.12
Dy: 0.1811 0.5000 0.0492 [4 per cell]  3 Rh 2.84-2.88, 2 Se 3.18
Rh: 0.1554 0.0000 0.8001 [4 per cell]  6 Dy 2.80-2.89
Pb: 0.0000 0.5000 0.5000 [2 per cell]  6 Dy 3.08-3.12
Se: 0.0000 0.5000 0.0000 [2 per cell]  4 Dy 2.81
Se: 0.1647 0.0000 0.3213 [4 per cell]  4 Dy 2.82-3.03

Computed properties:
E_tot (eV per atom): -5.893
Energy relative to the elements, uncorrected (eV/atom): -1.187
D(E_F) (states/eV/cell): 8.05
V (Å³ per atom): 25.26

(6)
Density functional theory data (PBE) for crystalline SmDyRhPb at its relaxed geometry.

a b c (Å): 7.3535 7.3535 7.3535
angles (deg): 90.00 90.00 90.00
Closest atoms and distances in Å follow each position.
Space group F-43m (No. 216)
Inequivalent atoms, fractional coordinates:
Sm: 0.0000 0.0000 0.0000 [4 per cell]  4 Rh 3.18, 4 Pb 3.18
Dy: 0.0000 0.0000 0.5000 [4 per cell]  4 Pb 3.18, 4 Rh 3.18
Rh: 0.2500 0.2500 0.2500 [4 per cell]  4 Dy 3.18, 4 Sm 3.18
Pb: 0.2500 0.2500 0.7500 [4 per cell]  4 Sm 3.18, 4 Dy 3.18

Computed properties:
E_tot (eV per atom): -5.585
D(E_F) (states/eV/cell): 12.91
Calculated formation energy (eV/atom): -0.489
V (Å³ per atom): 24.85

(7)
Density functional theory data (PBE) for crystalline TbDyRhPb at its relaxed geometry.

a b c (Å): 7.2936 7.2936 7.2936
angles (deg): 90.00 90.00 90.00
Closest atoms and distances in Å follow each position.
Space group F-43m (No. 216)
Inequivalent atoms, fractional coordinates:
Tb: 0.0000 0.0000 0.0000 [4 per cell]  4 Pb 3.16, 4 Rh 3.16
Dy: 0.0000 0.0000 0.5000 [4 per cell]  4 Rh 3.16, 4 Pb 3.16
Rh: 0.2500 0.2500 0.7500 [4 per cell]  4 Tb 3.16, 4 Dy 3.16
Pb: 0.2500 0.2500 0.2500 [4 per cell]  4 Tb 3.16, 4 Dy 3.16

Computed properties:
E_tot (eV per atom): -5.588
Excess energy over the best structure of this formula in the dataset (eV per atom): 0.166
D(E_F) (states/eV/cell): 12.74
Calculated formation energy (eV/atom): -0.515
V (Å³ per atom): 24.25

(8)
Density functional theory data (PBE) for crystalline TbDyRhPb at its relaxed geometry.

a b c (Å): 3.4907 3.4907 8.0359
angles (deg): 90.00 90.00 90.00
Closest atoms and distances in Å follow each position.
Space group P4mm (No. 99)
Inequivalent atoms, fractional coordinates:
Tb: 0.0000 0.0000 0.0000 [1 per cell]  4 Rh 2.99, 1 Dy 3.33
Dy: 0.0000 0.0000 0.5858 [1 per cell]  4 Rh 2.97
Rh: 0.5000 0.5000 0.7910 [1 per cell]  4 Dy 2.97, 4 Tb 2.99
Pb: 0.5000 0.5000 0.2941 [1 per cell]  4 Dy 3.40, 4 Tb 3.42, 4 Pb 3.49

Computed properties:
E_tot (eV per atom): -5.754
Excess energy over the best structure of this formula in the dataset (eV per atom): 0.000
D(E_F) (states/eV/cell): 1.95
Calculated formation energy (eV/atom): -0.681
V (Å³ per atom): 24.48

(9)
Density functional theory data (PBE) for crystalline Dy6Te3Rh2Pb at its relaxed geometry.

a b c (Å): 19.0211 4.1407 8.8924
angles (deg): 90.00 107.00 90.00
Closest atoms and distances in Å follow each position.
Space group C2/m (No. 12)
Inequivalent atoms, fractional coordinates:
Dy: 0.0145 0.0000 0.2608 [4 per cell]  1 Rh 2.81, 2 Te 3.04, 2 Pb 3.06
Dy: 0.1717 0.5000 0.1209 [4 per cell]  2 Rh 2.83, 1 Te 3.10, 1 Pb 3.13
Dy: 0.1797 0.5000 0.5625 [4 per cell]  3 Rh 2.76-2.85
Te: 0.0000 0.5000 0.5000 [2 per cell]  6 Dy 3.04-3.30
Te: 0.1605 0.0000 0.8354 [4 per cell]  6 Dy 3.10-3.29
Rh: 0.1686 0.0000 0.3363 [4 per cell]  6 Dy 2.76-2.85
Pb: 0.0000 0.5000 0.0000 [2 per cell]  6 Dy 3.06-3.13

Computed properties:
E_tot (eV per atom): -5.601
Energy relative to the elements, uncorrected (eV/atom): -0.980
D(E_F) (states/eV/cell): 11.15
V (Å³ per atom): 27.91

(10)
Density functional theory data (PBE) for crystalline DyTmRhPb at its relaxed geometry.

a b c (Å): 3.4678 3.4678 7.9652
angles (deg): 90.00 90.00 90.00
Closest atoms and distances in Å follow each position.
Space group P4mm (No. 99)
Inequivalent atoms, fractional coordinates:
Dy: 0.0000 0.0000 0.0000 [1 per cell]  4 Rh 2.98, 1 Tm 3.29
Tm: 0.0000 0.0000 0.5869 [1 per cell]  4 Rh 2.93
Rh: 0.5000 0.5000 0.7877 [1 per cell]  4 Tm 2.93, 4 Dy 2.98
Pb: 0.5000 0.5000 0.2967 [1 per cell]  4 Tm 3.37, 4 Dy 3.41, 4 Pb 3.47

Computed properties:
E_tot (eV per atom): -5.732
Excess energy over the best structure of this formula in the dataset (eV per atom): 0.000
D(E_F) (states/eV/cell): 1.59
Calculated formation energy (eV/atom): -0.698
V (Å³ per atom): 23.95

(11)
Density functional theory data (PBE) for crystalline DyTmRhPb at its relaxed geometry.

a b c (Å): 7.2316 7.2316 7.2316
angles (deg): 90.00 90.00 90.00
Closest atoms and distances in Å follow each position.
Space group F-43m (No. 216)
Inequivalent atoms, fractional coordinates:
Dy: 0.0000 0.0000 0.0000 [4 per cell]  4 Rh 3.13, 4 Pb 3.13
Tm: 0.0000 0.0000 0.5000 [4 per cell]  4 Pb 3.13, 4 Rh 3.13
Rh: 0.2500 0.2500 0.7500 [4 per cell]  4 Tm 3.13, 4 Dy 3.13
Pb: 0.2500 0.2500 0.2500 [4 per cell]  4 Dy 3.13, 4 Tm 3.13

Computed properties:
E_tot (eV per atom): -5.558
Excess energy over the best structure of this formula in the dataset (eV per atom): 0.173
D(E_F) (states/eV/cell): 12.61
Calculated formation energy (eV/atom): -0.525
V (Å³ per atom): 23.64